Entry 1:
Below is GdCdCuAg after structural relaxation, with properties calculated at the PBE level.

a b c (Å): 4.886 4.886 4.886
angles (deg): 60.00 60.00 60.00
Element x y z (fractional)
Gd  0.000  0.000  0.000
Cd  0.500  0.500  0.500
Cu  0.250  0.250  0.250
Ag  0.750  0.750  0.750

Properties
Its spin magnetization is 7.52 μB per formula unit. The calculation puts the total energy at -5.685 eV/atom. As for the formation energy: -0.200 eV per atom. Its density is 8.88 Mg/m³.

=====

Entry 2:
Below is Cs2IrPbI6 after structural relaxation, with properties calculated at the PBE level.

a b c (Å): 8.435 8.435 8.435
angles (deg): 120.07 120.07 89.87
Element x y z (fractional)
Cs  0.250  0.750  0.500
Cs  0.750  0.250  0.500
Ir  0.000  0.000  0.000
Pb  0.500  0.500  0.000
I  0.230  0.230  0.000
I  0.230  0.230  0.461
I  0.230  0.770  0.000
I  0.770  0.230  0.000
I  0.770  0.770  0.000
I  0.770  0.770  0.539

Properties
Its spin magnetization is 0.00 μB per formula unit. The calculation puts the total energy at -3.050 eV/atom. Its density is 5.59 Mg/m³.

=====

Entry 3:
Below is Sc4HgRh2 after structural relaxation, with properties calculated at the PBE level.

a b c (Å): 4.763 4.763 14.054
angles (deg): 90.00 90.00 120.03
Element x y z (fractional)
Sc  0.000  0.000  0.000
Sc  0.000  0.000  0.500
Sc  0.333  0.667  0.627
Sc  0.333  0.667  0.873
Sc  0.334  0.666  0.250
Sc  0.666  0.334  0.750
Sc  0.667  0.333  0.127
Sc  0.667  0.333  0.373
Hg  0.001  0.999  0.250
Hg  0.999  0.001  0.750
Rh  0.333  0.667  0.058
Rh  0.333  0.667  0.442
Rh  0.667  0.333  0.558
Rh  0.667  0.333  0.942

Properties
Its spin magnetization is 0.00 μB per formula unit. The calculation puts the total energy at -6.403 eV/atom. As for the formation energy: -0.641 eV per atom. Its density is 7.05 Mg/m³.